Version a
Material: Na5Tl4Bi
Method: DFT, PBE-GGA
State: optimized geometry

Results
D(E_F)	5.6	states/eV/f.u.
size of the total moment	0.00	μB/cell

Cell lengths 3.5689, 3.5689, 22.4707 Å; angles 90.00, 90.00, 90.00 degrees
Space group P4/mmm (No. 123)
One atom of each set of equivalent atoms:
Na (0.0000, 0.0000, 0.0000) [1 per cell]
Na (0.0000, 0.0000, 0.1973) [2 per cell]
Na (0.0000, 0.0000, 0.3997) [2 per cell]
Tl (0.5000, 0.5000, 0.0994) [2 per cell]
Tl (0.5000, 0.5000, 0.2957) [2 per cell]
Bi (0.5000, 0.5000, 0.5000) [1 per cell]



Version b
Material: Na5Tl4Bi
Method: DFT, PBE-GGA
State: optimized geometry

Results
D(E_F)	4.4	states/eV/f.u.
size of the total moment	0.00	μB/cell

Cell lengths 5.3642, 5.3642, 36.9274 Å; angles 90.00, 90.00, 120.00 degrees
Space group R3m (No. 160, hexagonal axes)
One atom of each set of equivalent atoms:
Na (0.0000, 0.0000, 0.0000) [3 per cell]
Na (0.0000, 0.0000, 0.0993) [3 per cell]
Na (0.0000, 0.0000, 0.1981) [3 per cell]
Na (0.0000, 0.0000, 0.4900) [3 per cell]
Na (0.0000, 0.0000, 0.9006) [3 per cell]
Tl (0.0000, 0.0000, 0.2904) [3 per cell]
Tl (0.0000, 0.0000, 0.3810) [3 per cell]
Tl (0.0000, 0.0000, 0.7259) [3 per cell]
Tl (0.0000, 0.0000, 0.8104) [3 per cell]
Bi (0.0000, 0.0000, 0.5827) [3 per cell]



Which is most stable? The ranking, best first, is version a, version b.